Record 1
Material: BaCdCoS3
Method: DFT, GGA-PBE
State: optimized geometry

Unit cell a=7.202 b=7.202 c=9.682 alpha=90.00 beta=90.00 gamma=146.98
Atoms (fractional coordinates):
Ba 0.240 0.760 0.750
Ba 0.760 0.240 0.250
Cd 0.481 0.519 0.250
Cd 0.519 0.481 0.750
Co 0.000 0.000 0.000
Co 0.000 0.000 0.500
S 0.083 0.917 0.250
S 0.376 0.624 0.041
S 0.376 0.624 0.459
S 0.624 0.376 0.541
S 0.624 0.376 0.959
S 0.917 0.083 0.750

Energy relative to the lowest polymorph listed for this composition = 0.184 eV per atom

Record 2
Material: BaCdCoS3
Method: DFT, GGA-PBE
State: optimized geometry

Unit cell a=7.019 b=7.019 c=10.235 alpha=90.00 beta=90.00 gamma=146.71
Atoms (fractional coordinates):
Ba 0.242 0.758 0.750
Ba 0.758 0.242 0.250
Cd 0.500 0.500 0.000
Cd 0.500 0.500 0.500
Co 0.033 0.967 0.250
Co 0.967 0.033 0.750
S 0.131 0.869 0.068
S 0.131 0.869 0.432
S 0.441 0.559 0.250
S 0.559 0.441 0.750
S 0.869 0.131 0.568
S 0.869 0.131 0.932

Energy relative to the lowest polymorph listed for this composition = 0.000 eV per atom

Record 3
Material: BaCdCoSe3
Method: DFT, GGA-PBE
State: optimized geometry

Unit cell a=7.244 b=7.244 c=10.712 alpha=90.00 beta=90.00 gamma=146.39
Atoms (fractional coordinates):
Ba 0.244 0.756 0.750
Ba 0.756 0.244 0.250
Cd 0.500 0.500 0.000
Cd 0.500 0.500 0.500
Co 0.035 0.965 0.250
Co 0.965 0.035 0.750
Se 0.134 0.866 0.065
Se 0.134 0.866 0.435
Se 0.440 0.560 0.250
Se 0.560 0.440 0.750
Se 0.866 0.134 0.565
Se 0.866 0.134 0.935

Energy relative to the lowest polymorph listed for this composition = 0.000 eV per atom

Record 4
Material: BaCdCoSe3
Method: DFT, GGA-PBE
State: optimized geometry

Unit cell a=7.479 b=7.479 c=10.113 alpha=90.00 beta=90.00 gamma=147.26
Atoms (fractional coordinates):
Ba 0.238 0.762 0.750
Ba 0.762 0.238 0.250
Cd 0.476 0.524 0.250
Cd 0.524 0.476 0.750
Co 0.000 0.000 0.000
Co 0.000 0.000 0.500
Se 0.082 0.918 0.250
Se 0.374 0.626 0.037
Se 0.374 0.626 0.463
Se 0.626 0.374 0.537
Se 0.626 0.374 0.963
Se 0.918 0.082 0.750

Energy relative to the lowest polymorph listed for this composition = 0.152 eV per atom

Record 5
Material: BaCdCoTe3
Method: DFT, GGA-PBE
State: optimized geometry

Unit cell a=7.515 b=7.515 c=11.671 alpha=90.00 beta=90.00 gamma=145.81
Atoms (fractional coordinates):
Ba 0.245 0.755 0.750
Ba 0.755 0.245 0.250
Cd 0.500 0.500 0.000
Cd 0.500 0.500 0.500
Co 0.041 0.959 0.250
Co 0.959 0.041 0.750
Te 0.137 0.863 0.061
Te 0.137 0.863 0.439
Te 0.446 0.554 0.250
Te 0.554 0.446 0.750
Te 0.863 0.137 0.561
Te 0.863 0.137 0.939

Energy relative to the lowest polymorph listed for this composition = 0.000 eV per atom

Record 6
Material: BaCdCoTe3
Method: DFT, GGA-PBE
State: optimized geometry

Unit cell a=7.886 b=7.886 c=10.797 alpha=90.00 beta=90.00 gamma=147.76
Atoms (fractional coordinates):
Ba 0.231 0.769 0.750
Ba 0.769 0.231 0.250
Cd 0.470 0.530 0.250
Cd 0.530 0.470 0.750
Co 0.000 0.000 0.000
Co 0.000 0.000 0.500
Te 0.083 0.917 0.250
Te 0.375 0.625 0.030
Te 0.375 0.625 0.470
Te 0.625 0.375 0.530
Te 0.625 0.375 0.970
Te 0.917 0.083 0.750

Energy relative to the lowest polymorph listed for this composition = 0.117 eV per atom

Record 7
Material: Cs2Ba2Cd3
Method: DFT, GGA-PBE
State: optimized geometry

Unit cell a=10.759 b=10.759 c=10.759 alpha=33.57 beta=33.57 gamma=33.57
Atoms (fractional coordinates):
Cs 0.000 0.000 0.000
Cs 0.497 0.497 0.497
Ba 0.252 0.252 0.252
Ba 0.744 0.744 0.744
Cd 0.372 0.372 0.372
Cd 0.623 0.623 0.623
Cd 0.874 0.874 0.874

Record 8
Material: BaErCd
Method: DFT, GGA-PBE
State: optimized geometry

Unit cell a=5.499 b=5.499 c=5.499 alpha=60.00 beta=60.00 gamma=60.00
Atoms (fractional coordinates):
Ba 0.000 0.000 0.000
Er 0.500 0.500 0.500
Cd 0.250 0.250 0.250

Energy relative to the lowest polymorph listed for this composition = 0.000 eV per atom

Record 9
Material: Ba2Cd2Se2OF2
Method: DFT, GGA-PBE
State: optimized geometry

Unit cell a=9.893 b=9.893 c=9.893 alpha=153.79 beta=153.79 gamma=37.40
Atoms (fractional coordinates):
Ba 0.173 0.173 0.000
Ba 0.827 0.827 0.000
Cd 0.000 0.500 0.500
Cd 0.500 0.000 0.500
Se 0.399 0.399 0.000
Se 0.601 0.601 0.000
O 0.000 0.000 0.000
F 0.250 0.750 0.500
F 0.750 0.250 0.500

Record 10
Material: Ba2CdS2F2
Method: DFT, GGA-PBE
State: optimized geometry

Unit cell a=4.167 b=4.167 c=9.349 alpha=90.00 beta=90.00 gamma=90.00
Atoms (fractional coordinates):
Ba 0.000 0.500 0.172
Ba 0.500 0.000 0.828
Cd 0.500 0.500 0.500
S 0.000 0.500 0.667
S 0.500 0.000 0.333
F 0.000 0.000 0.000
F 0.500 0.500 0.000

Record 11
Material: Ba2CdSe2F2
Method: DFT, GGA-PBE
State: optimized geometry

Unit cell a=4.291 b=4.291 c=9.494 alpha=90.00 beta=90.00 gamma=90.00
Atoms (fractional coordinates):
Ba 0.000 0.500 0.163
Ba 0.500 0.000 0.837
Cd 0.500 0.500 0.500
Se 0.000 0.500 0.671
Se 0.500 0.000 0.329
F 0.000 0.000 0.000
F 0.500 0.500 0.000

Record 12
Material: Ba2CdTe2F2
Method: DFT, GGA-PBE
State: optimized geometry

Unit cell a=4.482 b=4.482 c=9.890 alpha=90.00 beta=90.00 gamma=90.00
Atoms (fractional coordinates):
Ba 0.000 0.500 0.149
Ba 0.500 0.000 0.851
Cd 0.000 0.000 0.500
Te 0.000 0.500 0.679
Te 0.500 0.000 0.321
F 0.000 0.000 0.000
F 0.500 0.500 0.000

Record 13
Material: BaCdFe2
Method: DFT, GGA-PBE
State: optimized geometry

Unit cell a=5.042 b=5.042 c=5.042 alpha=60.00 beta=60.00 gamma=60.00
Atoms (fractional coordinates):
Ba 0.000 0.000 0.000
Cd 0.250 0.250 0.250
Fe 0.500 0.500 0.500
Fe 0.750 0.750 0.750

Record 14
Material: BaCdFeSe3
Method: DFT, GGA-PBE
State: optimized geometry

Unit cell a=7.450 b=7.450 c=10.309 alpha=90.00 beta=90.00 gamma=146.94
Atoms (fractional coordinates):
Ba 0.235 0.765 0.750
Ba 0.765 0.235 0.250
Cd 0.480 0.520 0.250
Cd 0.520 0.480 0.750
Fe 0.000 0.000 0.000
Fe 0.000 0.000 0.500
Se 0.087 0.913 0.250
Se 0.375 0.625 0.042
Se 0.375 0.625 0.458
Se 0.625 0.375 0.542
Se 0.625 0.375 0.958
Se 0.913 0.087 0.750

Energy relative to the lowest polymorph listed for this composition = 0.109 eV per atom

Record 15
Material: BaCdFeSe3
Method: DFT, GGA-PBE
State: optimized geometry

Unit cell a=7.298 b=7.298 c=10.672 alpha=90.00 beta=90.00 gamma=146.42
Atoms (fractional coordinates):
Ba 0.244 0.756 0.750
Ba 0.756 0.244 0.250
Cd 0.500 0.500 0.000
Cd 0.500 0.500 0.500
Fe 0.035 0.965 0.250
Fe 0.965 0.035 0.750
Se 0.134 0.866 0.062
Se 0.134 0.866 0.438
Se 0.436 0.564 0.250
Se 0.564 0.436 0.750
Se 0.866 0.134 0.562
Se 0.866 0.134 0.938

Energy relative to the lowest polymorph listed for this composition = 0.000 eV per atom

Record 16
Material: BaCdFeTe3
Method: DFT, GGA-PBE
State: optimized geometry

Unit cell a=7.832 b=7.832 c=11.150 alpha=90.00 beta=90.00 gamma=147.00
Atoms (fractional coordinates):
Ba 0.233 0.767 0.750
Ba 0.767 0.233 0.250
Cd 0.471 0.529 0.250
Cd 0.529 0.471 0.750
Fe 0.000 0.000 0.000
Fe 0.000 0.000 0.500
Te 0.084 0.916 0.250
Te 0.372 0.628 0.038
Te 0.372 0.628 0.462
Te 0.628 0.372 0.538
Te 0.628 0.372 0.962
Te 0.916 0.084 0.750

Energy relative to the lowest polymorph listed for this composition = 0.079 eV per atom

Record 17
Material: BaCdFeTe3
Method: DFT, GGA-PBE
State: optimized geometry

Unit cell a=7.725 b=7.725 c=11.410 alpha=90.00 beta=90.00 gamma=146.37
Atoms (fractional coordinates):
Ba 0.247 0.753 0.750
Ba 0.753 0.247 0.250
Cd 0.500 0.500 0.000
Cd 0.500 0.500 0.500
Fe 0.039 0.961 0.250
Fe 0.961 0.039 0.750
Te 0.137 0.863 0.057
Te 0.137 0.863 0.443
Te 0.436 0.564 0.250
Te 0.564 0.436 0.750
Te 0.863 0.137 0.557
Te 0.863 0.137 0.943

Energy relative to the lowest polymorph listed for this composition = 0.000 eV per atom

Record 18
Material: Ba2CdGa
Method: DFT, GGA-PBE
State: optimized geometry

Unit cell a=5.713 b=5.713 c=5.713 alpha=60.00 beta=60.00 gamma=60.00
Atoms (fractional coordinates):
Ba 0.000 0.000 0.000
Ba 0.250 0.250 0.250
Cd 0.750 0.750 0.750
Ga 0.500 0.500 0.500

Record 19
Material: BaCdGa2
Method: DFT, GGA-PBE
State: optimized geometry

Unit cell a=5.322 b=5.322 c=5.322 alpha=60.00 beta=60.00 gamma=60.00
Atoms (fractional coordinates):
Ba 0.000 0.000 0.000
Cd 0.250 0.250 0.250
Ga 0.500 0.500 0.500
Ga 0.750 0.750 0.750

Record 20
Material: BaCdGa
Method: DFT, GGA-PBE
State: optimized geometry

Unit cell a=6.467 b=6.467 c=6.467 alpha=133.72 beta=100.50 gamma=97.28
Atoms (fractional coordinates):
Ba 0.000 0.000 0.000
Ba 0.576 0.076 0.500
Cd 0.172 0.376 0.796
Cd 0.580 0.376 0.204
Ga 0.032 0.707 0.324
Ga 0.383 0.707 0.676

| no. | final energy (eV per atom) |
| --- | --- |
| 1 | -4.396 |
| 2 | -4.581 |
| 3 | -4.194 |
| 4 | -4.042 |
| 5 | -3.774 |
| 6 | -3.657 |
| 7 | -1.193 |
| 8 | -2.280 |
| 9 | -4.452 |
| 10 | -4.798 |
| 11 | -4.619 |
| 12 | -4.406 |
| 13 | -4.058 |
| 14 | -4.331 |
| 15 | -4.440 |
| 16 | -3.923 |
| 17 | -4.002 |
| 18 | -2.035 |
| 19 | -2.378 |
| 20 | -2.336 |